Record 1
# AcTlRh4, optimized geometry, DFT GGA-PBE
data_AcTlRh4
_chemical_formula_sum 'Ac4 Tl4 Rh16'
_cell_length_a 7.727
_cell_length_b 7.727
_cell_length_c 7.727
_cell_angle_alpha 90.00
_cell_angle_beta 90.00
_cell_angle_gamma 90.00
_symmetry_space_group_name_H-M 'F -4 3 m'
_symmetry_Int_Tables_number 216
_symmetry_space_group_name_Hall 'F -4 2 3'
loop_
_atom_site_label
_atom_site_type_symbol
_atom_site_fract_x
_atom_site_fract_y
_atom_site_fract_z
Ac1 Ac 0.000 0.000 0.000
Tl1 Tl 0.250 0.250 0.750
Rh1 Rh 0.124 0.124 0.376
# ΔE_f = -247 meV per atom

=====

Record 2
# Cs3ZrBr, optimized geometry, DFT GGA-PBE
data_Cs3ZrBr
_chemical_formula_sum 'Cs3 Zr1 Br1'
_cell_length_a 6.936
_cell_length_b 6.936
_cell_length_c 6.936
_cell_angle_alpha 90.00
_cell_angle_beta 90.00
_cell_angle_gamma 90.00
_symmetry_space_group_name_H-M 'P m -3 m'
_symmetry_Int_Tables_number 221
_symmetry_space_group_name_Hall '-P 4 2 3'
loop_
_atom_site_label
_atom_site_type_symbol
_atom_site_fract_x
_atom_site_fract_y
_atom_site_fract_z
Cs1 Cs 0.000 0.000 0.500
Zr1 Zr 0.500 0.500 0.500
Br1 Br 0.000 0.000 0.000
# formation energy (no corrections) = 0.18 eV/atom

=====

Record 3
# CaTaSN2, optimized geometry, DFT GGA-PBE
data_CaTaSN2
_chemical_formula_sum 'Ca1 Ta1 S1 N2'
_cell_length_a 4.119
_cell_length_b 4.119
_cell_length_c 5.020
_cell_angle_alpha 90.00
_cell_angle_beta 90.00
_cell_angle_gamma 90.00
_symmetry_space_group_name_H-M 'P 4/m m m'
_symmetry_Int_Tables_number 123
_symmetry_space_group_name_Hall '-P 4 2'
loop_
_atom_site_label
_atom_site_type_symbol
_atom_site_fract_x
_atom_site_fract_y
_atom_site_fract_z
Ca1 Ca 0.000 0.000 0.000
Ta1 Ta 0.500 0.500 0.500
S1 S 0.000 0.000 0.500
N1 N 0.000 0.500 0.000
# formation energy (no corrections) = 1.59 eV/atom

=====

In order of appearance, ρ = 12.1 2.8 5.5 g/cm³.
In order of appearance, size of the total moment = 0.0 4.0 0.4 μB/f.u..
In order of appearance, calculated total energy = -6.23 -2.37 -5.33 eV per atom.